Record 1
The following is a PBE calculation of a relaxed structure of Sm2Cu3Si4, from Alexandria.

a = 7.8544 Å, b = 7.8544 Å, c = 7.3448 Å
α = 90.00°, β = 90.00°, γ = 138.62°
Element x y z (fractional)
Sm (0.1098, 0.8902, 0.9032)
Sm (0.3902, 0.6098, 0.4032)
Sm (0.6098, 0.3902, 0.5968)
Sm (0.8902, 0.1098, 0.0968)
Cu (0.0000, 0.0000, 0.5000)
Cu (0.0279, 0.4721, 0.7500)
Cu (0.4721, 0.0279, 0.2500)
Cu (0.5000, 0.5000, 0.0000)
Cu (0.5279, 0.9721, 0.7500)
Cu (0.9721, 0.5279, 0.2500)
Si (0.1788, 0.8212, 0.5130)
Si (0.1906, 0.3094, 0.7500)
Si (0.3094, 0.1906, 0.2500)
Si (0.3212, 0.6788, 0.0130)
Si (0.6788, 0.3212, 0.9870)
Si (0.6906, 0.8094, 0.7500)
Si (0.8094, 0.6906, 0.2500)
Si (0.8212, 0.1788, 0.4870)

DOS(E_F) = 3.18 states/eV/f.u.
formation energy (no corrections) = -424 meV per atom

Record 2
The following is a PBE calculation of a relaxed structure of Cs3Ho2I8, from Alexandria.

a = 11.3869 Å, b = 11.3869 Å, c = 11.3869 Å
α = 48.10°, β = 48.10°, γ = 48.10°
Element x y z (fractional)
Cs (0.0000, 0.0000, 0.0000)
Cs (0.2118, 0.2118, 0.2118)
Cs (0.7882, 0.7882, 0.7882)
Ho (0.4345, 0.4345, 0.4345)
Ho (0.5655, 0.5655, 0.5655)
I (0.1962, 0.7398, 0.7398)
I (0.2602, 0.2602, 0.8038)
I (0.2602, 0.8038, 0.2602)
I (0.3363, 0.3363, 0.3363)
I (0.6637, 0.6637, 0.6637)
I (0.7398, 0.1962, 0.7398)
I (0.7398, 0.7398, 0.1962)
I (0.8038, 0.2602, 0.2602)

formation energy (no corrections) = -1325 meV per atom

Record 3
The following is a PBE calculation of a relaxed structure of LiPmZn2Ga2, from Alexandria.

a = 4.3345 Å, b = 4.3345 Å, c = 6.8798 Å
α = 90.00°, β = 90.00°, γ = 120.00°
Element x y z (fractional)
Li (0.0000, 0.0000, 0.0000)
Pm (0.0000, 0.0000, 0.5000)
Zn (0.3333, 0.6667, 0.1908)
Zn (0.6667, 0.3333, 0.8092)
Ga (0.3333, 0.6667, 0.7829)
Ga (0.6667, 0.3333, 0.2171)

ΔE_f = -431.5 meV/atom
DOS(E_F) = 3.25 states/eV/f.u.

| no. | total DFT energy (no corrections) (eV/atom) | spin magnetization (μB/cell) | mass density (g cm⁻³) |
| --- | --- | --- | --- |
| 1 | -5.2486 | 0.00 | 6.694 |
| 2 | -3.1799 | 1.00 | 3.863 |
| 3 | -2.9758 | 0.00 | 6.263 |